# 1
Compound: KAcOsO6
Source: the Alexandria database
Functional: PBE-GGA
Structure: relaxed

Cell lengths 5.951, 5.951, 5.601 Å; angles 90.00, 90.00, 120.00 degrees
Sites, in units of the cell vectors:
K  0.000  0.000  0.000
Ac  0.333  0.667  0.500
Os  0.667  0.333  0.500
O  0.411  0.070  0.691
O  0.411  0.341  0.309
O  0.659  0.070  0.309
O  0.659  0.589  0.691
O  0.930  0.341  0.691
O  0.930  0.589  0.309

Formation energy (no corrections)   -1.7573 eV/atom
Symmetry   P312, No. 149

***

# 2
Compound: K2Ac2OsO6
Source: the Alexandria database
Functional: PBE-GGA
Structure: relaxed

Cell lengths 6.192, 6.192, 6.604 Å; angles 96.27, 96.27, 118.36 degrees
Sites, in units of the cell vectors:
K  0.147  0.853  0.000
K  0.853  0.147  0.000
Ac  0.336  0.664  0.500
Ac  0.664  0.336  0.500
Os  0.000  0.000  0.500
O  0.038  0.335  0.671
O  0.220  0.220  0.320
O  0.335  0.038  0.671
O  0.665  0.962  0.329
O  0.780  0.780  0.680
O  0.962  0.665  0.329

Formation energy (no corrections)   -2.0084 eV/atom
Symmetry   C2/m, No. 12

***

# 3
Compound: KAcOsO4
Source: the Alexandria database
Functional: PBE-GGA
Structure: relaxed

Cell lengths 6.967, 6.967, 6.967 Å; angles 122.33, 111.22, 95.92 degrees
Sites, in units of the cell vectors:
K  0.384  0.134  0.250
K  0.616  0.866  0.750
Ac  0.000  0.500  0.500
Ac  0.500  0.500  0.000
Os  0.000  0.000  0.500
Os  0.000  0.500  0.000
O  0.153  0.242  0.911
O  0.168  0.758  0.411
O  0.215  0.246  0.531
O  0.215  0.684  0.969
O  0.785  0.316  0.031
O  0.785  0.754  0.469
O  0.832  0.242  0.589
O  0.847  0.758  0.089

Formation energy (no corrections)   -1.7761 eV/atom
Symmetry   Imma, No. 74